<P>
# Ni3AsS (PBE, optimized geometry)
data_Ni3AsS
_space_group_name_H-M_alt 'P m c 21'
_space_group_IT_number 26
_space_group_name_Hall 'P 2c -2'
_cell_length_a 3.704
_cell_length_b 6.533
_cell_length_c 5.833
_cell_angle_alpha 90.00
_cell_angle_beta 90.00
_cell_angle_gamma 90.00
loop_
_atom_site_label
_atom_site_fract_x
_atom_site_fract_y
_atom_site_fract_z
Ni1 0.000 0.086 0.000
Ni2 0.000 0.317 0.596
Ni3 0.500 0.198 0.324
As1 0.500 0.148 0.736
S1 0.000 0.365 0.222
# * magnetization: 0.000 μB/atom

***

<Q>
# Ni3AsS (PBE, optimized geometry)
data_Ni3AsS
_space_group_name_H-M_alt 'P m -3 m'
_space_group_IT_number 221
_space_group_name_Hall '-P 4 2 3'
_cell_length_a 4.187
_cell_length_b 4.187
_cell_length_c 4.187
_cell_angle_alpha 90.00
_cell_angle_beta 90.00
_cell_angle_gamma 90.00
loop_
_atom_site_label
_atom_site_fract_x
_atom_site_fract_y
_atom_site_fract_z
Ni1 0.000 0.000 0.500
As1 0.500 0.500 0.500
S1 0.000 0.000 0.000
# * magnetization: 0.002 μB/atom

***

<R>
# Ni3AsS (PBE, optimized geometry)
data_Ni3AsS
_space_group_name_H-M_alt 'P m -3 m'
_space_group_IT_number 221
_space_group_name_Hall '-P 4 2 3'
_cell_length_a 4.365
_cell_length_b 4.365
_cell_length_c 4.365
_cell_angle_alpha 90.00
_cell_angle_beta 90.00
_cell_angle_gamma 90.00
loop_
_atom_site_label
_atom_site_fract_x
_atom_site_fract_y
_atom_site_fract_z
Ni1 0.000 0.000 0.500
As1 0.000 0.000 0.000
S1 0.500 0.500 0.500
# * magnetization: 0.000 μB/atom

***

<P> (460 meV per atom below the next structure)